Record 1
# PmB4Sb | OQMD | PBE-GGA | relaxed
# E   -5.885 eV/atom
# Magnetic moment   0.0 Bohr magnetons per cell
# Volume   12.635 Å³/atom
# Polymorph energy (0 for the lowest one)   0 meV per atom
data_PmB4Sb
_chemical_formula_sum 'Pm2 B8 Sb2'
_cell_length_a 3.224
_cell_length_b 5.275
_cell_length_c 8.914
_cell_angle_alpha 90.00
_cell_angle_beta 90.00
_cell_angle_gamma 90.00
_symmetry_space_group_name_H-M 'I m m m'
_symmetry_Int_Tables_number 71
_symmetry_space_group_name_Hall '-I 2 2'
loop_
_atom_site_label
_atom_site_type_symbol
_atom_site_fract_x
_atom_site_fract_y
_atom_site_fract_z
Pm1 Pm 0.000 0.000 0.000
B1 B 0.000 0.322 0.263
Sb1 Sb 0.000 0.000 0.500



Record 2
# PmScB | OQMD | PBE-GGA | relaxed
# E   -5.839 eV/atom
# Magnetic moment   0.1 Bohr magnetons per cell
# Volume   20.765 Å³/atom
# Polymorph energy (0 for the lowest one)   0 meV per atom
data_PmScB
_chemical_formula_sum 'Pm4 Sc4 B4'
_cell_length_a 6.293
_cell_length_b 6.293
_cell_length_c 6.293
_cell_angle_alpha 90.00
_cell_angle_beta 90.00
_cell_angle_gamma 90.00
_symmetry_space_group_name_H-M 'F -4 3 m'
_symmetry_Int_Tables_number 216
_symmetry_space_group_name_Hall 'F -4 2 3'
loop_
_atom_site_label
_atom_site_type_symbol
_atom_site_fract_x
_atom_site_fract_y
_atom_site_fract_z
Pm1 Pm 0.000 0.000 0.000
Sc1 Sc 0.000 0.000 0.500
B1 B 0.250 0.250 0.250



Record 3
# PmSiB4 | OQMD | PBE-GGA | relaxed
# E   -6.122 eV/atom
# Magnetic moment   0.0 Bohr magnetons per cell
# Volume   11.397 Å³/atom
# Polymorph energy (0 for the lowest one)   0 meV per atom
data_PmSiB4
_chemical_formula_sum 'Pm2 Si2 B8'
_cell_length_a 3.201
_cell_length_b 5.120
_cell_length_c 8.346
_cell_angle_alpha 90.00
_cell_angle_beta 90.00
_cell_angle_gamma 90.00
_symmetry_space_group_name_H-M 'I m m m'
_symmetry_Int_Tables_number 71
_symmetry_space_group_name_Hall '-I 2 2'
loop_
_atom_site_label
_atom_site_type_symbol
_atom_site_fract_x
_atom_site_fract_y
_atom_site_fract_z
Pm1 Pm 0.000 0.000 0.000
Si1 Si 0.000 0.000 0.500
B1 B 0.000 0.324 0.262



Record 4
# PmSiB4 | OQMD | PBE-GGA | relaxed
# E   -6.057 eV/atom
# Magnetic moment   0.0 Bohr magnetons per cell
# Volume   10.520 Å³/atom
# Polymorph energy (0 for the lowest one)   65 meV per atom
data_PmSiB4
_chemical_formula_sum 'Pm1 Si1 B4'
_cell_length_a 3.0886
_cell_length_b 3.0886
_cell_length_c 7.6402
_cell_angle_alpha 90.00
_cell_angle_beta 90.00
_cell_angle_gamma 120.00
_symmetry_space_group_name_H-M 'P 6/m m m'
_symmetry_Int_Tables_number 191
_symmetry_space_group_name_Hall '-P 6 2'
loop_
_atom_site_label
_atom_site_type_symbol
_atom_site_fract_x
_atom_site_fract_y
_atom_site_fract_z
Pm1 Pm 0.0000 0.0000 0.0000
Si1 Si 0.0000 0.0000 0.5000
B1 B 0.3333 0.6667 0.2884



Record 5
# PmSiB | OQMD | PBE-GGA | relaxed
# E   -5.446 eV/atom
# Magnetic moment   0.0 Bohr magnetons per cell
# Volume   17.651 Å³/atom
# Polymorph energy (0 for the lowest one)   0 meV per atom
data_PmSiB
_chemical_formula_sum 'Pm4 Si4 B4'
_cell_length_a 5.961
_cell_length_b 5.961
_cell_length_c 5.961
_cell_angle_alpha 90.00
_cell_angle_beta 90.00
_cell_angle_gamma 90.00
_symmetry_space_group_name_H-M 'F -4 3 m'
_symmetry_Int_Tables_number 216
_symmetry_space_group_name_Hall 'F -4 2 3'
loop_
_atom_site_label
_atom_site_type_symbol
_atom_site_fract_x
_atom_site_fract_y
_atom_site_fract_z
Pm1 Pm 0.000 0.000 0.000
Si1 Si 0.000 0.000 0.500
B1 B 0.250 0.250 0.250



Record 6
# PmSmB4 | OQMD | PBE-GGA | relaxed
# E   -6.401 eV/atom
# Magnetic moment   0.0 Bohr magnetons per cell
# Volume   12.915 Å³/atom
data_PmSmB4
_chemical_formula_sum 'Pm1 Sm1 B4'
_cell_length_a 3.3260
_cell_length_b 3.3260
_cell_length_c 8.0885
_cell_angle_alpha 90.00
_cell_angle_beta 90.00
_cell_angle_gamma 120.00
_symmetry_space_group_name_H-M 'P 6/m m m'
_symmetry_Int_Tables_number 191
_symmetry_space_group_name_Hall '-P 6 2'
loop_
_atom_site_label
_atom_site_type_symbol
_atom_site_fract_x
_atom_site_fract_y
_atom_site_fract_z
Pm1 Pm 0.0000 0.0000 0.0000
Sm1 Sm 0.0000 0.0000 0.5000
B1 B 0.3333 0.6667 0.2518



| no. | calculated density (g/cm³) |
| --- | --- |
| 1 | 6.79 |
| 2 | 5.35 |
| 3 | 5.25 |
| 4 | 5.69 |
| 5 | 5.77 |
| 6 | 7.26 |